(1)
Density functional theory data (PBE) for a relaxed RbAu2O6 crystal.

Lattice parameters (Å, degrees): 8.6822 13.2750 6.6727 90.00 116.89 90.00
Closest atoms and distances in Å follow each position.
Space group C2/c (No. 15)
Asymmetric unit:
Rb 0.0000 0.2498 0.2500 x4  8 O 2.99-3.24
Au 0.2502 0.0001 0.2448 x8  4 O 2.01-2.02
O 0.2392 0.1320 0.8852 x8  1 O 1.39
O 0.2393 0.3679 0.8960 x8  1 O 1.39
O 0.2504 0.0852 0.4950 x8  2 Au 2.02

Calculated values
ΔE_f (raw) = -305 meV per atom
crystal system = monoclinic
E = -4.446 eV/atom

---

(2)
Density functional theory data (PBE) for a relaxed Rb7Au4O crystal.

Lattice parameters (Å, degrees): 17.7850 5.6659 11.9464 90.00 122.55 90.00
Closest atoms and distances in Å follow each position.
Space group C2/m (No. 12)
Asymmetric unit:
Rb 0.0000 0.0000 0.0000 x2  2 O 2.83
Rb 0.0688 0.5000 0.2615 x4  1 O 2.67
Rb 0.1404 0.0000 0.5489 x4  5 Au 3.47-3.71
Rb 0.1659 0.5000 0.0339 x4  1 O 2.75
Au 0.0755 0.0000 0.7760 x4  8 Rb 3.47-3.88
Au 0.2174 0.0000 0.3197 x4  6 Rb 3.55-3.69
O 0.0000 0.5000 0.0000 x2  6 Rb 2.67-2.83

Calculated values
ΔE_f (raw) = -419 meV per atom
crystal system = monoclinic
E = -2.489 eV/atom
energy above the most stable polymorph in this dataset = 0 meV/atom

---

(3)
Density functional theory data (PBE) for a relaxed Rb3AuO crystal.

Lattice parameters (Å, degrees): 18.8033 4.4406 10.0244 90.00 110.23 90.00
Closest atoms and distances in Å follow each position.
Space group C2/m (No. 12)
Asymmetric unit:
Rb 0.0727 0.0000 0.3446 x4  2 O 2.80
Rb 0.1586 0.5000 0.0667 x4  1 O 2.62
Rb 0.2273 0.5000 0.6217 x4  3 O 2.77-2.99
Au 0.1303 0.0000 0.7866 x4  6 Rb 3.47-3.73
O 0.1598 0.5000 0.3286 x4  4 Rb 2.62-2.80

Calculated values
ΔE_f (raw) = -661 meV per atom
crystal system = monoclinic
E = -2.888 eV/atom

---

(4)
Density functional theory data (PBE) for a relaxed Rb8Au3O2 crystal.

Lattice parameters (Å, degrees): 7.9104 8.0601 9.0434 113.22 97.62 100.92
Closest atoms and distances in Å follow each position.
Space group P-1 (No. 2)
Asymmetric unit:
Rb 0.1112 0.4306 0.1579 x2  1 O 2.75
Rb 0.2210 0.9477 0.3011 x2  1 O 2.76
Rb 0.3267 0.7810 0.8095 x2  1 O 2.67
Rb 0.3724 0.3337 0.8032 x2  2 O 2.80-2.94
Au 0.0323 0.3217 0.4976 x2  1 Au 3.00
Au 0.5000 0.5000 0.5000 x1  6 Rb 3.47-3.85, 2 Au 3.70
O 0.2942 0.6640 0.0452 x2  5 Rb 2.67-2.94

Calculated values
ΔE_f (raw) = -525 meV per atom
crystal system = triclinic
E = -2.640 eV/atom

---

(5)
Density functional theory data (PBE) for a relaxed Rb12Au5O2 crystal.

Lattice parameters (Å, degrees): 18.9709 8.8475 10.7584 90.00 106.66 90.00
Closest atoms and distances in Å follow each position.
Space group C2/m (No. 12)
Asymmetric unit:
Rb 0.9998 0.0000 0.1695 x4  2 O 2.85
Rb 0.0006 0.5000 0.1734 x4  2 O 2.91
Rb 0.1469 0.2547 0.5729 x8  4 Au 3.49-3.57
Rb 0.1504 0.2597 0.0755 x8  1 O 2.74
Au 0.0000 0.0000 0.5000 x2  6 Rb 3.49-3.55
Au 0.1974 0.5000 0.8460 x4  7 Rb 3.56-3.70
Au 0.2014 0.5000 0.3536 x4  7 Rb 3.56-3.75
O 0.0000 0.2470 0.0000 x4  6 Rb 2.74-2.91

Calculated values
ΔE_f (raw) = -446 meV per atom
crystal system = monoclinic
E = -2.442 eV/atom

---

(6)
Density functional theory data (PBE) for a relaxed RbAu3O crystal.

Lattice parameters (Å, degrees): 4.7760 4.7760 4.7760 90.00 90.00 90.00
Closest atoms and distances in Å follow each position.
Space group Pm-3m (No. 221)
Asymmetric unit:
Rb 0.0000 0.0000 0.0000 x1  12 Au 3.38
Au 0.0000 0.5000 0.5000 x3  2 O 2.39
O 0.5000 0.5000 0.5000 x1  6 Au 2.39

Calculated values
ΔE_f (raw) = 169 meV per atom
crystal system = cubic
E = -2.983 eV/atom
energy above the most stable polymorph in this dataset = 0 meV/atom

---

(7)
Density functional theory data (PBE) for a relaxed RbAu3O crystal.

Lattice parameters (Å, degrees): 6.0853 6.0853 6.0853 90.00 90.00 90.00
Closest atoms and distances in Å follow each position.
Space group Pm-3m (No. 221)
Asymmetric unit:
Rb 0.0000 0.0000 0.0000 x1  6 Au 3.04
Au 0.0000 0.0000 0.5000 x3  2 Rb 3.04
O 0.5000 0.5000 0.5000 x1  12 Au 4.30

Calculated values
ΔE_f (raw) = 1859 meV per atom
crystal system = cubic
E = -1.293 eV/atom
energy above the most stable polymorph in this dataset = 1690 meV/atom

---

(8)
Density functional theory data (PBE) for a relaxed Rb3AuO2 crystal.

Lattice parameters (Å, degrees): 6.4336 12.5794 7.6746 90.00 90.00 90.00
Closest atoms and distances in Å follow each position.
Space group Ibam (No. 72)
Asymmetric unit:
Rb 0.0000 0.0000 0.2500 x4  4 O 2.97
Rb 0.0000 0.2798 0.2500 x8  2 O 2.76
Au 0.0000 0.5000 0.0000 x4  2 O 2.08
O 0.2312 0.3842 0.0000 x8  1 Au 2.08

Calculated values
ΔE_f (raw) = -907 meV per atom
crystal system = orthorhombic
E = -3.590 eV/atom

---

What did the fourth record say?
Density functional theory data (PBE) for a relaxed Rb8Au3O2 crystal.

Lattice parameters (Å, degrees): 7.9104 8.0601 9.0434 113.22 97.62 100.92
Closest atoms and distances in Å follow each position.
Space group P-1 (No. 2)
Asymmetric unit:
Rb 0.1112 0.4306 0.1579 x2  1 O 2.75
Rb 0.2210 0.9477 0.3011 x2  1 O 2.76
Rb 0.3267 0.7810 0.8095 x2  1 O 2.67
Rb 0.3724 0.3337 0.8032 x2  2 O 2.80-2.94
Au 0.0323 0.3217 0.4976 x2  1 Au 3.00
Au 0.5000 0.5000 0.5000 x1  6 Rb 3.47-3.85, 2 Au 3.70
O 0.2942 0.6640 0.0452 x2  5 Rb 2.67-2.94

Calculated values
ΔE_f (raw) = -525 meV per atom
crystal system = triclinic
E = -2.640 eV/atom

---

Question: The lowest ΔE_f (raw) belongs to which entry?
Answer: Rb3AuO2